No. 1
Density functional theory data (PBE) for a geometry-optimized VCd2Pb structure.

The calculated formation energy comes out at 0.64 eV/atom. The density of states at the Fermi level is 1.110 states/eV per atom. For the raw total energy, the calculation gives -3.028 eV/atom. The calculated density comes out at 8.01 Mg/m³. The magnetization is 9.9 μB per cell.

The structure belongs to space group R-3m (No. 166, hexagonal axes); the cell edges are 3.1531, 3.1531 and 34.8644 Å and the angles 90.00°, 90.00° and 120.00°. Symmetry generates all atoms from V at (0.0000, 0.0000, 0.0000), Cd at (0.0000, 0.0000, 0.0811) and Pb at (0.0000, 0.0000, 0.5000).

No. 2
Density functional theory data (PBE) for a geometry-optimized VCd2Pb structure.

The calculated formation energy comes out at 0.52 eV/atom. The density of states at the Fermi level is 0.952 states/eV per atom. For the raw total energy, the calculation gives -3.148 eV/atom. The calculated density comes out at 8.20 Mg/m³. The magnetization is 10.8 μB per cell.

The structure belongs to space group I-42d (No. 122); the cell edges are 8.280, 8.280 and 5.708 Å and the angles 90.00°, 90.00° and 90.00°. Symmetry generates all atoms from V at (0.000, 0.000, 0.000), Cd at (0.222, 0.250, 0.125) and Pb at (0.000, 0.000, 0.500).

No. 3
Density functional theory data (PBE) for a geometry-optimized V3CdPb structure.

As for the relative energy among the computed polymorphs: 0 meV/atom. The calculated formation energy comes out at 1.57 eV/atom. The density of states at the Fermi level is 2.597 states/eV per atom. For the raw total energy, the calculation gives -4.824 eV/atom. The calculated density comes out at 6.54 Mg/m³. The magnetization is 6.5 μB per cell.

The structure belongs to space group Pm-3m (No. 221); the cell edges are 4.933, 4.933 and 4.933 Å and the angles 90.00°, 90.00° and 90.00°. Symmetry generates all atoms from V at (0.000, 0.000, 0.500), Cd at (0.000, 0.000, 0.000) and Pb at (0.500, 0.500, 0.500).

No. 4
Density functional theory data (PBE) for a geometry-optimized V2CdPb structure.

The calculated formation energy comes out at 0.87 eV/atom. The density of states at the Fermi level is 0.796 states/eV per atom. For the raw total energy, the calculation gives -4.846 eV/atom. The calculated density comes out at 8.83 Mg/m³. The magnetization is 0.0 μB per cell.

The structure belongs to space group I-42d (No. 122); the cell edges are 7.461, 7.461 and 5.696 Å and the angles 90.00°, 90.00° and 90.00°. Symmetry generates all atoms from V at (0.249, 0.750, 0.125), Cd at (0.000, 0.000, 0.500) and Pb at (0.000, 0.000, 0.000).